No. 1
First-principles (GGA-PBEsol) data for an optimized crystal structure of Hg2Mo, as listed in Alexandria via LeMat-Bulk.

Its raw total energy is -20.99 eV/cell.

The space group is P6_3/mmc (No. 194) and the conventional cell measures 4.7659, 4.7659 and 5.7784 Å, with angles of 90.00, 90.00 and 120.00 degrees. The distinct sites, in fractional coordinates, are Hg at (0.0000, 0.0000, 0.0000), Hg at (0.3333, 0.6667, 0.2500) and Mo at (0.3333, 0.6667, 0.7500).



No. 2
First-principles (GGA-PBEsol) data for an optimized crystal structure of HgMo, as listed in Alexandria via LeMat-Bulk.

Its raw total energy is -86.40 eV/cell.

The space group is Fd-3m (No. 227, origin choice 2) and the conventional cell measures 6.554, 6.554 and 6.554 Å, with angles of 90.00, 90.00 and 90.00 degrees. The distinct sites, in fractional coordinates, are Hg at (0.125, 0.125, 0.125) and Mo at (0.125, 0.125, 0.625).



No. 3
First-principles (GGA-PBEsol) data for an optimized crystal structure of HgMo, as listed in Alexandria via LeMat-Bulk.

Its raw total energy is -23.20 eV/cell.

The space group is P4/nmm (No. 129, origin choice 2) and the conventional cell measures 3.186, 3.186 and 7.191 Å, with angles of 90.00, 90.00 and 90.00 degrees. The distinct sites, in fractional coordinates, are Hg at (0.250, 0.250, 0.145) and Mo at (0.250, 0.250, 0.586).



No. 4
First-principles (GGA-PBEsol) data for an optimized crystal structure of HgMoSeN2, as listed in Alexandria via LeMat-Bulk.

Its raw total energy is -31.79 eV/cell. The calculation puts the uncorrected formation energy at 0.289 eV/atom.

The space group is P4/mmm (No. 123) and the conventional cell measures 3.884, 3.884 and 5.332 Å, with angles of 90.00, 90.00 and 90.00 degrees. The distinct sites, in fractional coordinates, are Hg at (0.000, 0.000, 0.000), Mo at (0.500, 0.500, 0.500), Se at (0.500, 0.500, 0.000) and N at (0.000, 0.500, 0.500).



No. 5
First-principles (GGA-PBEsol) data for an optimized crystal structure of NbHg3Mo, as listed in Alexandria via LeMat-Bulk.

Its raw total energy is -16.33 eV/cell.

The space group is Pm-3m (No. 221) and the conventional cell measures 5.101, 5.101 and 5.101 Å, with angles of 90.00, 90.00 and 90.00 degrees. The distinct sites, in fractional coordinates, are Nb at (0.000, 0.000, 0.000), Hg at (0.000, 0.500, 0.500) and Mo at (0.500, 0.500, 0.500).



No. 6
First-principles (GGA-PBEsol) data for an optimized crystal structure of Nb2HgMoO, as listed in Alexandria via LeMat-Bulk.

Its raw total energy is -40.06 eV/cell. The calculation puts the uncorrected formation energy at -0.166 eV/atom.

The space group is P4/mmm (No. 123) and the conventional cell measures 4.087, 4.087 and 4.820 Å, with angles of 90.00, 90.00 and 90.00 degrees. The distinct sites, in fractional coordinates, are Nb at (0.000, 0.500, 0.000), Hg at (0.000, 0.000, 0.500), Mo at (0.500, 0.500, 0.500) and O at (0.000, 0.000, 0.000).



No. 7
First-principles (GGA-PBEsol) data for an optimized crystal structure of TaNbHg2Mo, as listed in Alexandria via LeMat-Bulk.

Its raw total energy is -26.76 eV/cell.

The space group is P4/mmm (No. 123) and the conventional cell measures 5.102, 5.102 and 4.523 Å, with angles of 90.00, 90.00 and 90.00 degrees. The distinct sites, in fractional coordinates, are Ta at (0.000, 0.000, 0.000), Nb at (0.500, 0.500, 0.500), Hg at (0.000, 0.500, 0.500) and Mo at (0.500, 0.500, 0.000).



No. 8
First-principles (GGA-PBEsol) data for an optimized crystal structure of ReNiHg2Mo, as listed in Alexandria via LeMat-Bulk.

Its raw total energy is -21.18 eV/cell.

The space group is P4/mmm (No. 123) and the conventional cell measures 5.131, 5.131 and 4.303 Å, with angles of 90.00, 90.00 and 90.00 degrees. The distinct sites, in fractional coordinates, are Re at (0.000, 0.000, 0.000), Ni at (0.500, 0.500, 0.000), Hg at (0.000, 0.500, 0.500) and Mo at (0.500, 0.500, 0.500).



No. 9
First-principles (GGA-PBEsol) data for an optimized crystal structure of Tc2NiHgMo, as listed in Alexandria via LeMat-Bulk.

Its raw total energy is -27.98 eV/cell.

The space group is P4/mmm (No. 123) and the conventional cell measures 4.833, 4.833 and 4.458 Å, with angles of 90.00, 90.00 and 90.00 degrees. The distinct sites, in fractional coordinates, are Tc at (0.000, 0.500, 0.000), Ni at (0.000, 0.000, 0.500), Hg at (0.000, 0.000, 0.000) and Mo at (0.500, 0.500, 0.500).



No. 10
First-principles (GGA-PBEsol) data for an optimized crystal structure of Hg2MoO4, as listed in Alexandria via LeMat-Bulk.

Its raw total energy is -170.76 eV/cell. The calculation puts the uncorrected formation energy at -1.256 eV/atom.

The space group is C2/c (No. 15) and the conventional cell measures 8.711, 11.588 and 4.909 Å, with angles of 90.00, 114.56 and 90.00 degrees. The distinct sites, in fractional coordinates, are Hg at (0.142, 0.108, 0.481), Mo at (0.000, 0.400, 0.750), O at (0.134, 0.452, 0.144) and O at (0.142, 0.306, 0.697).



No. 11
First-principles (GGA-PBEsol) data for an optimized crystal structure of Hg2Mo2O7, as listed in Alexandria via LeMat-Bulk.

Its raw total energy is -624.17 eV/cell. The calculation puts the uncorrected formation energy at -1.510 eV/atom.

The space group is C2/c (No. 15) and the conventional cell measures 12.033, 7.747 and 14.414 Å, with angles of 90.00, 105.34 and 90.00 degrees. The distinct sites, in fractional coordinates, are Hg at (0.064, 0.175, 0.062), Hg at (0.082, 0.347, 0.565), Mo at (0.152, 0.026, 0.812), Mo at (0.158, 0.480, 0.317), O at (0.000, 0.048, 0.250), O at (0.000, 0.476, 0.250), O at (0.135, 0.245, 0.780), O at (0.146, 0.026, 0.929), O at (0.148, 0.462, 0.929), O at (0.176, 0.255, 0.326), O at (0.183, 0.036, 0.170) and O at (0.183, 0.480, 0.169).



No. 12
First-principles (GGA-PBEsol) data for an optimized crystal structure of Hg2Mo2O7, as listed in Alexandria via LeMat-Bulk.

Its raw total energy is -156.02 eV/cell. The calculation puts the uncorrected formation energy at -1.509 eV/atom.

The space group is P2/c (No. 13) and the conventional cell measures 6.041, 3.921 and 14.408 Å, with angles of 90.00, 104.62 and 90.00 degrees. The distinct sites, in fractional coordinates, are Hg at (0.145, 0.171, 0.063), Mo at (0.310, 0.469, 0.815), O at (0.000, 0.460, 0.250), O at (0.295, 0.474, 0.431), O at (0.310, 0.026, 0.803) and O at (0.365, 0.469, 0.169).